## i
Density functional theory data (PBE-GGA) for crystalline AlAgMo3 at its relaxed geometry.

- total magnetic moment (μB/atom) = 0.000

Lattice parameters (Å, degrees): 4.7795 4.7795 4.7795 90.00 90.00 90.00
Element x y z (fractional)
Al 0.0000 0.0000 0.0000
Ag 0.5000 0.5000 0.5000
Mo 0.0000 0.5000 0.5000
Mo 0.5000 0.0000 0.5000
Mo 0.5000 0.5000 0.0000

***

## ii
Density functional theory data (PBE-GGA) for crystalline AlAgMo3 at its relaxed geometry.

- total magnetic moment (μB/atom) = 0.000

Lattice parameters (Å, degrees): 4.5535 4.5535 4.5535 90.00 90.00 90.00
Element x y z (fractional)
Al 0.0000 0.0000 0.0000
Ag 0.5000 0.5000 0.5000
Mo 0.0000 0.0000 0.5000
Mo 0.0000 0.5000 0.0000
Mo 0.5000 0.0000 0.0000

***

Which one is most stable, and which one is least stable? ii is the most stable of them, while i is the least stable.

***

## i
Density functional theory data (PBE-GGA) for crystalline AlAg3N at its relaxed geometry.

- total magnetic moment (μB/atom) = 0.000

Lattice parameters (Å, degrees): 4.4371 4.4371 4.4371 90.00 90.00 90.00
Element x y z (fractional)
Al 0.0000 0.0000 0.0000
Ag 0.0000 0.5000 0.5000
Ag 0.5000 0.0000 0.5000
Ag 0.5000 0.5000 0.0000
N 0.5000 0.5000 0.5000

***

## ii
Density functional theory data (PBE-GGA) for crystalline AlAg3N at its relaxed geometry.

- total magnetic moment (μB/atom) = 0.489

Lattice parameters (Å, degrees): 4.9622 4.9622 4.9622 90.00 90.00 90.00
Element x y z (fractional)
Al 0.0000 0.0000 0.0000
Ag 0.0000 0.0000 0.5000
Ag 0.0000 0.5000 0.0000
Ag 0.5000 0.0000 0.0000
N 0.5000 0.5000 0.5000

***

Which one is most stable, and which one is least stable? i is the most stable of them, while ii is the least stable.